Hg2WO GGA+U relaxed; E = -12.79 eV/f.u.; space group = I-42d, No. 122; crystal system = tetragonal
1.0
-5.593 5.593 1.928
5.593 -5.593 1.928
5.593 5.593 -1.928
Hg W O
4 2 2
Direct
0.006 0.625 0.881
0.375 0.256 0.381
0.744 0.125 0.119
0.875 0.994 0.619
0.250 0.750 0.500
0.500 0.500 0.000
0.000 0.000 0.000
0.750 0.250 0.500